Entry 1:
{"formula": "CuPtRh2", "functional": "PBEsol", "state": "relaxed", "e_form_kcal_per_mol_atoms": 4.71, "space_group": "No. 216", "crystal_system": "cubic", "lattice_angstrom": [[0.000, 3.010, 3.010], [3.010, 0.000, 3.010], [3.010, 3.010, 0.000]], "species": ["Cu", "Pt", "Rh", "Rh"], "frac_coords": [[0.000, 0.000, 0.000], [0.250, 0.250, 0.250], [0.500, 0.500, 0.500], [0.750, 0.750, 0.750]]}



Entry 2:
{"formula": "CuPtRh2", "functional": "PBEsol", "state": "relaxed", "e_form_kcal_per_mol_atoms": 3.27, "space_group": "No. 47", "crystal_system": "orthorhombic", "lattice_angstrom": [[2.693, 0.000, 0.000], [0.000, 4.479, 0.000], [0.000, 0.000, 4.525]], "species": ["Cu", "Pt", "Rh", "Rh"], "frac_coords": [[0.000, 0.000, 0.000], [0.500, 0.500, 0.000], [0.000, 0.500, 0.500], [0.500, 0.000, 0.500]]}



Entry 3:
{"formula": "Cu2PtRh", "functional": "PBEsol", "state": "relaxed", "e_form_kcal_per_mol_atoms": 0.02, "space_group": "No. 8", "crystal_system": "monoclinic", "lattice_angstrom": [[4.382, -1.340, 0.000], [4.382, 1.340, 0.000], [-0.876, 0.000, 4.412]], "species": ["Cu", "Cu", "Pt", "Rh"], "frac_coords": [[0.000, 0.000, 0.000], [0.747, 0.747, 0.235], [0.499, 0.499, 0.495], [0.249, 0.249, 0.742]]}



no.,relative energy among the computed polymorphs (meV/atom)
1,230
2,168
3,44